The following is a DFT calculation (PBE) of a relaxed LiGdAgSb crystal.

Summary:
E_form (uncorrected) ... -0.5547 eV/atom

Lattice parameters (Å, degrees): 7.172 7.172 7.172 90.00 90.00 90.00
Space group F-43m (No. 216)
Symmetry-distinct sites (fractional):
Li1 0.000 0.000 0.000
Gd1 0.000 0.000 0.500
Ag1 0.250 0.250 0.250
Sb1 0.250 0.250 0.750

The following is a DFT calculation (PBE) of a relaxed LiSmGdAg crystal.

Summary:
Energy relative to the elements ... -0.083 eV per atom

Lattice parameters (Å, degrees): 7.410 7.410 7.410 90.00 90.00 90.00
Space group F-43m (No. 216)
Symmetry-distinct sites (fractional):
Li1 0.000 0.000 0.000
Sm1 0.250 0.250 0.750
Gd1 0.250 0.250 0.250
Ag1 0.000 0.000 0.500

The following is a DFT calculation (PBE) of a relaxed LiGdAgSn crystal.

Summary:
Energy relative to the elements ... -0.435 eV per atom

Lattice parameters (Å, degrees): 7.137 7.137 7.137 90.00 90.00 90.00
Space group F-43m (No. 216)
Symmetry-distinct sites (fractional):
Li1 0.000 0.000 0.000
Gd1 0.000 0.000 0.500
Ag1 0.250 0.250 0.750
Sn1 0.250 0.250 0.250

The following is a DFT calculation (PBE) of a relaxed SrLiGdAg crystal.

Summary:
Energy relative to the elements ... -0.037 eV per atom

Lattice parameters (Å, degrees): 7.677 7.677 7.677 90.00 90.00 90.00
Space group F-43m (No. 216)
Symmetry-distinct sites (fractional):
Sr1 0.000 0.000 0.000
Li1 0.250 0.250 0.750
Gd1 0.000 0.000 0.500
Ag1 0.250 0.250 0.250

The following is a DFT calculation (PBE) of a relaxed LiTbGdAg crystal.

Summary:
Energy relative to the elements ... -0.090 eV per atom

Lattice parameters (Å, degrees): 7.349 7.349 7.349 90.00 90.00 90.00
Space group F-43m (No. 216)
Symmetry-distinct sites (fractional):
Li1 0.000 0.000 0.000
Tb1 0.250 0.250 0.250
Gd1 0.250 0.250 0.750
Ag1 0.000 0.000 0.500

The following is a DFT calculation (PBE) of a relaxed LiGdThAg crystal.

Summary:
Energy relative to the elements ... 0.046 eV per atom

Lattice parameters (Å, degrees): 7.420 7.420 7.420 90.00 90.00 90.00
Space group F-43m (No. 216)
Symmetry-distinct sites (fractional):
Li1 0.000 0.000 0.000
Gd1 0.250 0.250 0.750
Th1 0.250 0.250 0.250
Ag1 0.000 0.000 0.500